1.
Computed, not measured: a PBEsol-optimized structure of In2GaCCl at the SCAN level of DFT.

Summary:
crystal system = tetragonal
symmetry = P4/mmm (123)

abc: 4.3477 4.3477 7.0539
angles: 90.00 90.00 90.00
With the nearest neighbours (Å) after each atom.
Atoms (fractional coordinates):
In (0.0000, 0.5000, 0.0000)  2 C 2.17
In (0.5000, 0.0000, 0.0000)  2 C 2.17
Ga (0.0000, 0.0000, 0.5000)  4 Cl 3.07
C (0.5000, 0.5000, 0.0000)  4 In 2.17
Cl (0.5000, 0.5000, 0.5000)  4 Ga 3.07



2.
Computed, not measured: a PBEsol-optimized structure of AlIn2Cl at the SCAN level of DFT.

Summary:
crystal system = orthorhombic
symmetry = Pmmm (47)
distance to the lowest polymorph of the same formula = 0.00 eV per formula unit

abc: 3.2926 4.9600 5.6641
angles: 90.00 90.00 90.00
With the nearest neighbours (Å) after each atom.
Atoms (fractional coordinates):
Al (0.0000, 0.0000, 0.0000)  6 In 2.83-2.98
In (0.0000, 0.0000, 0.5000)  2 Al 2.83, 4 Cl 2.98
In (0.5000, 0.5000, 0.0000)  2 Cl 2.83, 4 Al 2.98
Cl (0.5000, 0.5000, 0.5000)  6 In 2.83-2.98



Calculated E_form (uncorrected), 0.75 -0.29 eV/atom (same order as the records).